[1]
A relaxed structure of AcHo3Sb4. Source: the Alexandria database, functional PBE.

Values from the calculation:
ρ in g/cm3: 7.87
Magnetization in μB/atom: 0.000
DOS(E_F) in states/eV/cell: 1.09
Formation energy (no corrections) in meV/atom: -1102

a b c (Å): 4.4858 7.7629 7.7629
angles (deg): 70.57 90.00 90.00
Closest atoms and distances in Å follow each position.
Atoms (fractional coordinates):
Ho 0.0000 0.5001 0.5000  6 Sb 3.17
Ho 0.5000 0.0001 0.4999  6 Sb 3.07
Ho 0.9999 0.0001 0.0000  6 Sb 3.17
Sb 0.4999 0.2420 0.7419  5 Ho 3.07-3.17, 1 Ac 3.27
Sb 0.5000 0.7582 0.2581  5 Ho 3.07-3.17, 1 Ac 3.27
Sb 0.0000 0.2336 0.2665  4 Ho 3.07-3.17, 2 Ac 3.28
Sb 0.0000 0.7667 0.7334  4 Ho 3.07-3.17, 2 Ac 3.28
Ac 0.5000 0.5002 0.9999  6 Sb 3.27-3.28

---

[2]
A relaxed structure of LiAc2La3Se6. Source: the Alexandria database, functional PBE.

Values from the calculation:
ρ in g/cm3: 6.46
Magnetization in μB/atom: 0.000
DOS(E_F) in states/eV/cell: 6.39
Formation energy (no corrections) in meV/atom: -1859

a b c (Å): 7.5126 7.5126 7.5510
angles (deg): 99.60 99.60 120.14
Closest atoms and distances in Å follow each position.
Atoms (fractional coordinates):
Se 0.5977 0.9173 0.7504  1 Li 2.98, 3 La 3.03-3.14, 2 Ac 3.12
Se 0.0827 0.4023 0.2496  1 Li 2.98, 3 La 3.03-3.14, 2 Ac 3.12
Se 0.2349 0.2349 0.7494  1 Li 2.98, 3 La 3.04-3.16, 2 Ac 3.11
Se 0.7651 0.7651 0.2506  1 Li 2.98, 3 La 3.04-3.16, 2 Ac 3.11
Se 0.9173 0.5977 0.7504  1 Li 2.98, 3 La 3.03-3.14, 2 Ac 3.12
Se 0.4023 0.0827 0.2496  1 Li 2.98, 3 La 3.03-3.14, 2 Ac 3.12
Ac 0.3344 0.6656 0.0000  6 Se 3.11-3.12
Ac 0.6656 0.3344 0.0000  6 Se 3.11-3.12
La 0.5000 0.5000 0.5000  6 Se 3.03-3.16
La 0.1682 0.8318 0.5000  6 Se 3.03-3.14
La 0.8318 0.1682 0.5000  6 Se 3.03-3.14
Li 0.0000 0.0000 0.0000  6 Se 2.98

---

[3]
A relaxed structure of LaBeAs. Source: the Alexandria database, functional PBE.

Values from the calculation:
ρ in g/cm3: 6.16
Magnetization in μB/atom: 0.000
DOS(E_F) in states/eV/cell: 0.46
Formation energy from the elements in kcal/mol of atoms: -20.30

a b c (Å): 3.9136 3.9136 4.5275
angles (deg): 90.00 90.00 120.00
Closest atoms and distances in Å follow each position.
Atoms (fractional coordinates):
La 0.3333 0.6667 0.6665  6 Be 3.20, 6 As 3.20
Be 0.6667 0.3333 0.1668  3 As 2.26
As 0.0000 0.0000 0.1666  3 Be 2.26

---

[4]
A relaxed structure of RbAu3C. Source: the Alexandria database, functional PBE.

Values from the calculation:
ρ in g/cm3: 11.63
Magnetization in μB/atom: 0.000
DOS(E_F) in states/eV/cell: 0.00
Formation energy from the elements in kcal/mol of atoms: 13.08

a b c (Å): 4.6155 4.6155 4.6155
angles (deg): 90.00 90.00 90.00
Closest atoms and distances in Å follow each position.
Atoms (fractional coordinates):
Au 0.0000 0.5000 0.0000  2 C 2.31
Au 0.5000 0.0000 0.0000  2 C 2.31
Au 0.0000 0.0000 0.5000  2 C 2.31
Rb 0.5000 0.5000 0.5000  12 Au 3.26
C 0.0000 0.0000 0.0000  6 Au 2.31

---

[5]
A relaxed structure of TaCo2Ni. Source: the Alexandria database, functional PBE.

Values from the calculation:
ρ in g/cm3: 11.87
Magnetization in μB/atom: 0.304
DOS(E_F) in states/eV/cell: 4.75
Formation energy from the elements in kcal/mol of atoms: -1.95

a b c (Å): 3.0822 3.0822 5.2644
angles (deg): 90.00 90.00 90.00
Closest atoms and distances in Å follow each position.
Atoms (fractional coordinates):
Co 0.0000 0.0000 0.0149  1 Co 2.48, 4 Ni 2.51, 4 Ta 2.59
Co 0.0000 0.0000 0.4851  1 Co 2.48, 4 Ni 2.51, 4 Ta 2.59
Ta 0.5000 0.5000 0.7500  8 Co 2.59, 2 Ni 2.63
Ni 0.5000 0.5000 0.2500  8 Co 2.51, 2 Ta 2.63

---

[6]
A relaxed structure of Hg3OF2. Source: the Alexandria database, functional PBE.

Values from the calculation:
ρ in g/cm3: 9.95
Magnetization in μB/atom: 0.000
DOS(E_F) in states/eV/cell: 0.64
Formation energy (no corrections) in meV/atom: -713

a b c (Å): 4.1777 6.6504 8.3044
angles (deg): 92.43 90.00 108.31
Closest atoms and distances in Å follow each position.
Atoms (fractional coordinates):
F 0.3606 0.7213 0.4862  5 Hg 2.52-2.75
F 0.3607 0.7212 0.9862  5 Hg 2.52-2.75
F 0.6394 0.2787 0.5138  5 Hg 2.52-2.75
F 0.6393 0.2788 0.0138  5 Hg 2.52-2.75
Hg 0.1910 0.3820 0.1683  3 F 2.52-2.68, 1 O 2.53
Hg 0.8090 0.6180 0.8317  3 F 2.52-2.68, 1 O 2.53
Hg 0.4999 0.0000 0.2500  2 O 2.09
Hg 0.5001 0.0000 0.7500  2 O 2.09
Hg 0.1911 0.3821 0.6683  3 F 2.52-2.68, 1 O 2.53
Hg 0.8089 0.6179 0.3317  3 F 2.52-2.68, 1 O 2.53
O 0.9999 0.0000 0.2500  2 Hg 2.09
O 0.0001 0.0000 0.7500  2 Hg 2.09

---

[7]
A relaxed structure of Be2ReSn2. Source: the Alexandria database, functional PBE.

Values from the calculation:
ρ in g/cm3: 9.55
Magnetization in μB/atom: 0.000
DOS(E_F) in states/eV/cell: 7.70
Formation energy from the elements in kcal/mol of atoms: 11.45

a b c (Å): 6.4883 6.4883 3.6471
angles (deg): 90.00 90.00 90.00
Closest atoms and distances in Å follow each position.
Atoms (fractional coordinates):
Sn 0.1734 0.6734 0.5000  6 Be 2.54-2.71
Sn 0.3266 0.1734 0.5000  6 Be 2.54-2.71
Sn 0.6734 0.8266 0.5000  6 Be 2.54-2.71
Sn 0.8266 0.3266 0.5000  6 Be 2.54-2.71
Be 0.6336 0.1336 0.0000  1 Be 2.45, 2 Re 2.53, 6 Sn 2.54-2.71
Be 0.1336 0.3664 0.0000  1 Be 2.45, 2 Re 2.53, 6 Sn 2.54-2.71
Be 0.8664 0.6336 0.0000  1 Be 2.45, 2 Re 2.53, 6 Sn 2.54-2.71
Be 0.3664 0.8664 0.0000  1 Be 2.45, 2 Re 2.53, 6 Sn 2.54-2.71
Re 0.5000 0.5000 0.0000  4 Be 2.53
Re 0.0000 0.0000 0.0000  4 Be 2.53

---

[8]
A relaxed structure of YMn2Cu. Source: the Alexandria database, functional PBE.

Values from the calculation:
ρ in g/cm3: 6.19
Magnetization in μB/atom: 1.761
DOS(E_F) in states/eV/cell: 3.63
Formation energy from the elements in kcal/mol of atoms: 6.22

a b c (Å): 3.1951 3.1952 6.8963
angles (deg): 90.00 90.00 90.00
Closest atoms and distances in Å follow each position.
Atoms (fractional coordinates):
Y 0.5000 0.5000 0.2500  8 Mn 3.08, 4 Y 3.20
Cu 0.5000 0.5000 0.7500  8 Mn 2.64
Mn 0.0000 0.0000 0.9468  4 Cu 2.64, 1 Mn 2.71
Mn 0.0000 0.0000 0.5532  4 Cu 2.64, 1 Mn 2.71

---

[9]
A relaxed structure of ReSbO3. Source: the Alexandria database, functional PBE.

Values from the calculation:
ρ in g/cm3: 8.63
Magnetization in μB/atom: 1.052
DOS(E_F) in states/eV/cell: 1.16
Formation energy (no corrections) in meV/atom: 217

a b c (Å): 4.0918 4.0918 4.0918
angles (deg): 90.00 90.00 90.00
Closest atoms and distances in Å follow each position.
Atoms (fractional coordinates):
Re 0.5000 0.5000 0.5000  12 O 2.89
O 0.0000 0.5000 0.0000  2 Sb 2.05
O 0.5000 0.0000 0.0000  2 Sb 2.05
O 0.0000 0.0000 0.5000  2 Sb 2.05
Sb 0.0000 0.0000 0.0000  6 O 2.05

---

[10]
A relaxed structure of PmDy2Ho3Se6. Source: the Alexandria database, functional PBE.

Values from the calculation:
ρ in g/cm3: 8.26
Magnetization in μB/atom: 0.000
DOS(E_F) in states/eV/cell: 5.39
Formation energy (no corrections) in meV/atom: -1752

a b c (Å): 7.0732 7.0732 7.0972
angles (deg): 99.52 99.52 120.30
Closest atoms and distances in Å follow each position.
Atoms (fractional coordinates):
Ho 0.1613 0.8387 0.5000  6 Se 2.85-2.88
Ho 0.8387 0.1613 0.5000  6 Se 2.85-2.88
Ho 0.5000 0.5000 0.5000  6 Se 2.83-2.89
Se 0.4265 0.0853 0.2568  3 Ho 2.87-2.89, 2 Dy 2.89-2.90, 1 Pm 2.96
Se 0.9147 0.5735 0.7432  3 Ho 2.87-2.89, 2 Dy 2.89-2.90, 1 Pm 2.96
Se 0.7438 0.7438 0.2529  3 Ho 2.83-2.85, 2 Dy 2.87, 1 Pm 2.94
Se 0.5735 0.9147 0.7432  3 Ho 2.87-2.89, 2 Dy 2.89-2.90, 1 Pm 2.96
Se 0.0853 0.4265 0.2568  3 Ho 2.87-2.89, 2 Dy 2.89-2.90, 1 Pm 2.96
Se 0.2562 0.2562 0.7471  3 Ho 2.83-2.85, 2 Dy 2.87, 1 Pm 2.94
Dy 0.6656 0.3344 0.0000  6 Se 2.87-2.90
Dy 0.3344 0.6656 0.0000  6 Se 2.87-2.90
Pm 0.0000 0.0000 0.0000  6 Se 2.94-2.96

---

[11]
A relaxed structure of CoCu4Ni. Source: the Alexandria database, functional PBE.

Values from the calculation:
ρ in g/cm3: 8.44
Magnetization in μB/atom: 0.354
DOS(E_F) in states/eV/cell: 8.51
Formation energy from the elements in kcal/mol of atoms: 6.91

a b c (Å): 4.6937 4.6937 4.6937
angles (deg): 60.00 60.00 60.00
Closest atoms and distances in Å follow each position.
Atoms (fractional coordinates):
Cu 0.8750 0.3750 0.3750  6 Cu 2.35
Cu 0.3750 0.3750 0.8750  6 Cu 2.35
Cu 0.3750 0.3750 0.3750  6 Cu 2.35
Cu 0.3750 0.8750 0.3750  6 Cu 2.35
Ni 0.7500 0.7500 0.7500  12 Cu 2.75, 4 Co 2.87
Co 0.0000 0.0000 0.0000  12 Cu 2.75, 4 Ni 2.87

---

[12]
A relaxed structure of Na2MgSi2O6. Source: the Alexandria database, functional PBE.

Values from the calculation:
ρ in g/cm3: 2.65
Magnetization in μB/atom: 0.000
DOS(E_F) in states/eV/cell: 0.00
Formation energy (no corrections) in meV/atom: -2261

a b c (Å): 5.6533 5.3611 6.0258
angles (deg): 111.80 90.00 121.82
Closest atoms and distances in Å follow each position.
Atoms (fractional coordinates):
Na 0.3092 0.6185 0.8720  5 O 2.46-2.62
Na 0.6908 0.3815 0.1280  5 O 2.46-2.62
Mg 0.5000 0.0000 0.5000  6 O 2.06-2.13
O 0.1956 0.9167 0.2247  1 Si 1.60
O 0.2544 0.5088 0.4072  1 Si 1.56
O 0.7456 0.4912 0.5928  1 Si 1.56
O 0.7210 0.9167 0.2247  1 Si 1.60
O 0.2790 0.0833 0.7753  1 Si 1.60
O 0.8044 0.0833 0.7753  1 Si 1.60
Si 0.9365 0.8729 0.7126  3 O 1.56-1.60
Si 0.0635 0.1271 0.2874  3 O 1.56-1.60

---

> Look up the DOS(E_F) of the eighth one.

3.63 states/eV/cell